Nd4C2BrCl4 (GGA-PBE, relaxed); DFT total energy = -0.4241 Ry/atom; space-group type = No. 71
1.0
7.473 -0.591 6.299
8.413 4.965 -0.664
-9.628 -1.282 1.232
Nd C Br Cl
4 2 1 4
Cartesian
7.502 1.805 4.356 Nd
4.633 3.285 2.143 Nd
1.624 -0.193 4.724 Nd
-1.245 1.288 2.511 Nd
-0.433 -0.759 3.994 C
6.691 3.851 2.873 C
0.000 0.000 0.000 Br
4.720 0.964 3.849 Cl
10.036 2.428 5.735 Cl
-3.778 0.664 1.132 Cl
1.538 2.128 3.018 Cl